The following is a DFT calculation (PBE) of crystalline Li3OsPt at its relaxed geometry.

It has space group Pm-3m (No. 221), with a = 4.504 Å, b = 4.504 Å, c = 4.504 Å, α = 90.00°, β = 90.00° and γ = 90.00°. The asymmetric unit holds Li at (0.000, 0.000, 0.500), Os at (0.500, 0.500, 0.500) and Pt at (0.000, 0.000, 0.000).

The energy above the most stable polymorph in this dataset comes out at 0.0 meV/atom. The calculation puts the formation energy at 0.9582 eV per atom. As for the spin magnetization: 0.595 μB/atom. The total energy is -3.644 eV/atom.